No. 1
Compound: Ac2Ga4Cu3Hg
Source: the Alexandria database
Functional: PBE
Structure: relaxed

Properties
SG: P-4m2
Uncorrected energy in Ha/atom: -0.1352
Magnetic moment in μB/f.u.: 0.00
Crystal system: tetragonal
Formation enthalpy at 0 K in eV per atom: -0.3866

Cell: 4.4919 4.4919 10.3868 Å, 90.00 90.00 90.00°
Atoms (fractional coordinates):
1 Ac 0.0000 0.5000 0.2446
2 Ac 0.5000 0.0000 0.7554
3 Ga 0.0000 0.0000 0.0000
4 Ga 0.0000 0.5000 0.6442
5 Ga 0.5000 0.0000 0.3558
6 Ga 0.5000 0.5000 0.0000
7 Cu 0.0000 0.5000 0.8820
8 Cu 0.5000 0.0000 0.1180
9 Cu 0.5000 0.5000 0.5000
10 Hg 0.0000 0.0000 0.5000

No. 2
Compound: Ac2Ga3Cu4Hg
Source: the Alexandria database
Functional: PBE
Structure: relaxed

Properties
SG: P-4m2
Uncorrected energy in Ha/atom: -0.1372
Magnetic moment in μB/f.u.: 0.00
Crystal system: tetragonal
Formation enthalpy at 0 K in eV per atom: -0.3355

Cell: 4.4682 4.4682 10.2928 Å, 90.00 90.00 90.00°
Atoms (fractional coordinates):
1 Ac 0.0000 0.5000 0.2389
2 Ac 0.5000 0.0000 0.7611
3 Ga 0.0000 0.5000 0.8833
4 Ga 0.5000 0.0000 0.1167
5 Ga 0.5000 0.5000 0.5000
6 Cu 0.0000 0.0000 0.0000
7 Cu 0.0000 0.5000 0.6423
8 Cu 0.5000 0.0000 0.3577
9 Cu 0.5000 0.5000 0.0000
10 Hg 0.0000 0.0000 0.5000

No. 3
Compound: AcHo2Ga2Cu2
Source: the Alexandria database
Functional: PBE
Structure: relaxed

Properties
SG: R-3m
Uncorrected energy in Ha/atom: -0.1586
Magnetic moment in μB/f.u.: 0.00
Crystal system: trigonal
Formation enthalpy at 0 K in eV per atom: -0.3861

Cell: 9.6562 9.6562 9.6562 Å, 26.96 26.96 26.96°
Atoms (fractional coordinates):
1 Ac 0.0000 0.0000 0.0000
2 Ho 0.1277 0.1277 0.1277
3 Ho 0.8723 0.8723 0.8723
4 Ga 0.2521 0.2521 0.2521
5 Ga 0.7479 0.7479 0.7479
6 Cu 0.4131 0.4131 0.4131
7 Cu 0.5869 0.5869 0.5869

No. 4
Compound: AcHoGa2Cu2
Source: the Alexandria database
Functional: PBE
Structure: relaxed

Properties
SG: P-3m1
Uncorrected energy in Ha/atom: -0.1574
Magnetic moment in μB/f.u.: 0.00
Crystal system: trigonal
Formation enthalpy at 0 K in eV per atom: -0.4602

Cell: 4.4600 4.4600 7.5590 Å, 90.00 90.00 120.00°
Atoms (fractional coordinates):
1 Ac 0.0000 0.0000 0.0000
2 Ho 0.0000 0.0000 0.5000
3 Ga 0.3333 0.6667 0.2938
4 Ga 0.6667 0.3333 0.7062
5 Cu 0.3333 0.6667 0.6954
6 Cu 0.6667 0.3333 0.3046

No. 5
Compound: Ac4GaCuI2
Source: the Alexandria database
Functional: PBE
Structure: relaxed

Properties
Raw formation energy in eV per atom: -0.636
SG: P2/m
Uncorrected energy in Ha/atom: -0.1458
Magnetic moment in μB/f.u.: 0.00
Crystal system: monoclinic

Cell: 8.1870 4.4284 8.5704 Å, 90.00 106.46 90.00°
Atoms (fractional coordinates):
1 Ac 0.2242 0.0000 0.1959
2 Ac 0.2578 0.5000 0.7877
3 Ac 0.7422 0.5000 0.2122
4 Ac 0.7758 0.0000 0.8041
5 Ga 0.5000 0.0000 0.0000
6 Cu 0.0000 0.5000 0.0000
7 I 0.0000 0.0000 0.5000
8 I 0.5000 0.5000 0.5000

No. 6
Compound: Ac8Ga3CuI4
Source: the Alexandria database
Functional: PBE
Structure: relaxed

Properties
Raw formation energy in eV per atom: -0.693
SG: R-3m
Uncorrected energy in Ha/atom: -0.1454
Magnetic moment in μB/f.u.: 0.00
Crystal system: trigonal

Cell: 9.6451 9.6451 9.6451 Å, 57.92 57.92 57.92°
Atoms (fractional coordinates):
1 Ac 0.2372 0.2372 0.2372
2 Ac 0.2372 0.7339 0.7339
3 Ac 0.2661 0.2661 0.7628
4 Ac 0.2661 0.7628 0.2661
5 Ac 0.7339 0.2372 0.7339
6 Ac 0.7339 0.7339 0.2372
7 Ac 0.7628 0.2661 0.2661
8 Ac 0.7628 0.7628 0.7628
9 Ga 0.0000 0.0000 0.5000
10 Ga 0.0000 0.5000 0.0000
11 Ga 0.5000 0.0000 0.0000
12 Cu 0.5000 0.5000 0.5000
13 I 0.0000 0.0000 0.0000
14 I 0.0000 0.5000 0.5000
15 I 0.5000 0.0000 0.5000
16 I 0.5000 0.5000 0.0000

No. 7
Compound: AcInGa2Cu
Source: the Alexandria database
Functional: PBE
Structure: relaxed

Properties
SG: I-4m2
Uncorrected energy in Ha/atom: -0.1398
Magnetic moment in μB/f.u.: 0.00
Crystal system: tetragonal
Formation enthalpy at 0 K in eV per atom: -0.4039

Cell: 6.4124 6.4124 6.4124 Å, 139.22 139.22 59.04°
Atoms (fractional coordinates):
1 Ac 0.0000 0.0000 0.0000
2 In 0.2500 0.7500 0.5000
3 Ga 0.3854 0.3854 0.0000
4 Ga 0.6146 0.6146 0.0000
5 Cu 0.7500 0.2500 0.5000

No. 8
Compound: Ac2InGa4Cu3
Source: the Alexandria database
Functional: PBE
Structure: relaxed

Properties
SG: P-4m2
Uncorrected energy in Ha/atom: -0.1451
Magnetic moment in μB/f.u.: 0.00
Crystal system: tetragonal
Formation enthalpy at 0 K in eV per atom: -0.4128

Cell: 4.4172 4.4172 10.7754 Å, 90.00 90.00 90.00°
Atoms (fractional coordinates):
1 Ac 0.0000 0.5000 0.2388
2 Ac 0.5000 0.0000 0.7612
3 In 0.0000 0.0000 0.5000
4 Ga 0.0000 0.0000 0.0000
5 Ga 0.0000 0.5000 0.6478
6 Ga 0.5000 0.0000 0.3522
7 Ga 0.5000 0.5000 0.0000
8 Cu 0.0000 0.5000 0.8801
9 Cu 0.5000 0.0000 0.1199
10 Cu 0.5000 0.5000 0.5000

No. 9
Compound: Ac2In4GaCu3
Source: the Alexandria database
Functional: PBE
Structure: relaxed

Properties
SG: P-4m2
Uncorrected energy in Ha/atom: -0.1386
Magnetic moment in μB/f.u.: 0.00
Crystal system: tetragonal
Formation enthalpy at 0 K in eV per atom: -0.3224

Cell: 4.6440 4.6440 10.9430 Å, 90.00 90.00 90.00°
Atoms (fractional coordinates):
1 Ac 0.0000 0.5000 0.2430
2 Ac 0.5000 0.0000 0.7570
3 In 0.0000 0.0000 0.5000
4 In 0.0000 0.5000 0.8678
5 In 0.5000 0.0000 0.1322
6 In 0.5000 0.5000 0.5000
7 Ga 0.5000 0.5000 0.0000
8 Cu 0.0000 0.0000 0.0000
9 Cu 0.0000 0.5000 0.6296
10 Cu 0.5000 0.0000 0.3704

No. 10
Compound: Ac2In6GaCu
Source: the Alexandria database
Functional: PBE
Structure: relaxed

Properties
SG: R-3m
Uncorrected energy in Ha/atom: -0.1238
Magnetic moment in μB/f.u.: 0.00
Crystal system: trigonal
Formation enthalpy at 0 K in eV per atom: -0.1923

Cell: 13.1814 13.1814 13.1814 Å, 31.53 31.53 31.53°
Atoms (fractional coordinates):
1 Ac 0.1076 0.1076 0.1076
2 Ac 0.2824 0.2824 0.2824
3 Ac 0.7176 0.7176 0.7176
4 Ac 0.8924 0.8924 0.8924
5 In 0.0807 0.6627 0.6627
6 In 0.2198 0.2198 0.6639
7 In 0.2198 0.6639 0.2198
8 In 0.3361 0.7802 0.7802
9 In 0.3373 0.3373 0.9193
10 In 0.3373 0.9193 0.3373
11 In 0.6627 0.0807 0.6627
12 In 0.6627 0.6627 0.0807
13 In 0.6639 0.2198 0.2198
14 In 0.7802 0.3361 0.7802
15 In 0.7802 0.7802 0.3361
16 In 0.9193 0.3373 0.3373
17 Ga 0.4273 0.4273 0.4273
18 Ga 0.5727 0.5727 0.5727
19 Cu 0.0000 0.0000 0.0000
20 Cu 0.5000 0.5000 0.5000

No. 11
Compound: Ac2InGa3Cu4
Source: the Alexandria database
Functional: PBE
Structure: relaxed

Properties
SG: P-4m2
Uncorrected energy in Ha/atom: -0.1473
Magnetic moment in μB/f.u.: 0.00
Crystal system: tetragonal
Formation enthalpy at 0 K in eV per atom: -0.3652

Cell: 4.4414 4.4414 10.4374 Å, 90.00 90.00 90.00°
Atoms (fractional coordinates):
1 Ac 0.0000 0.5000 0.2353
2 Ac 0.5000 0.0000 0.7647
3 In 0.0000 0.0000 0.5000
4 Ga 0.0000 0.5000 0.8820
5 Ga 0.5000 0.0000 0.1180
6 Ga 0.5000 0.5000 0.5000
7 Cu 0.0000 0.0000 0.0000
8 Cu 0.0000 0.5000 0.6421
9 Cu 0.5000 0.0000 0.3579
10 Cu 0.5000 0.5000 0.0000

No. 12
Compound: AcInGa4Cu2
Source: the Alexandria database
Functional: PBE
Structure: relaxed

Properties
SG: R-3m
Uncorrected energy in Ha/atom: -0.1312
Magnetic moment in μB/f.u.: 0.00
Crystal system: trigonal
Formation enthalpy at 0 K in eV per atom: -0.1777

Cell: 11.2108 11.2108 11.2108 Å, 21.75 21.75 21.75°
Atoms (fractional coordinates):
1 Ac 0.0000 0.0000 0.0000
2 In 0.5000 0.5000 0.5000
3 Ga 0.1110 0.1110 0.1110
4 Ga 0.4005 0.4005 0.4005
5 Ga 0.5995 0.5995 0.5995
6 Ga 0.8890 0.8890 0.8890
7 Cu 0.2566 0.2566 0.2566
8 Cu 0.7434 0.7434 0.7434

No. 13
Compound: Ac2GaCu6Ir
Source: the Alexandria database
Functional: PBE
Structure: relaxed

Properties
SG: C2/m
Uncorrected energy in Ha/atom: -0.1724
Magnetic moment in μB/f.u.: 0.00
Crystal system: monoclinic
Formation enthalpy at 0 K in eV per atom: -0.2221

Cell: 6.5949 6.5949 8.7561 Å, 129.30 129.30 44.04°
Atoms (fractional coordinates):
1 Ac 0.2238 0.2238 0.1772
2 Ac 0.7762 0.7762 0.8228
3 Ga 0.0000 0.0000 0.5000
4 Cu 0.2325 0.7276 0.7202
5 Cu 0.2523 0.2523 0.5824
6 Cu 0.2724 0.7675 0.2798
7 Cu 0.7276 0.2325 0.7202
8 Cu 0.7477 0.7477 0.4176
9 Cu 0.7675 0.2724 0.2798
10 Ir 0.5000 0.5000 0.0000

No. 14
Compound: Ac2Ga3Cu12Ir
Source: the Alexandria database
Functional: PBE
Structure: relaxed

Properties
SG: R-3m
Uncorrected energy in Ha/atom: -0.1470
Magnetic moment in μB/f.u.: 0.00
Crystal system: trigonal
Formation enthalpy at 0 K in eV per atom: 0.1837

Cell: 6.7417 6.7417 6.7417 Å, 87.94 87.94 87.94°
Atoms (fractional coordinates):
1 Ac 0.2117 0.2117 0.2117
2 Ac 0.7883 0.7883 0.7883
3 Ga 0.0000 0.5000 0.5000
4 Ga 0.5000 0.0000 0.5000
5 Ga 0.5000 0.5000 0.0000
6 Cu 0.0792 0.0792 0.6466
7 Cu 0.0792 0.6466 0.0792
8 Cu 0.2311 0.6945 0.6945
9 Cu 0.3055 0.3055 0.7689
10 Cu 0.3055 0.7689 0.3055
11 Cu 0.3534 0.9208 0.9208
12 Cu 0.6466 0.0792 0.0792
13 Cu 0.6945 0.2311 0.6945
14 Cu 0.6945 0.6945 0.2311
15 Cu 0.7689 0.3055 0.3055
16 Cu 0.9208 0.3534 0.9208
17 Cu 0.9208 0.9208 0.3534
18 Ir 0.5000 0.5000 0.5000

No. 15
Compound: AcGa4Cu2Ir
Source: the Alexandria database
Functional: PBE
Structure: relaxed

Properties
SG: R-3m
Uncorrected energy in Ha/atom: -0.1647
Magnetic moment in μB/f.u.: 0.00
Crystal system: trigonal
Formation enthalpy at 0 K in eV per atom: -0.3232

Cell: 9.7338 9.7338 9.7338 Å, 25.25 25.25 25.25°
Atoms (fractional coordinates):
1 Ac 0.0000 0.0000 0.0000
2 Ga 0.1325 0.1325 0.1325
3 Ga 0.4076 0.4076 0.4076
4 Ga 0.5924 0.5924 0.5924
5 Ga 0.8675 0.8675 0.8675
6 Cu 0.2342 0.2342 0.2342
7 Cu 0.7658 0.7658 0.7658
8 Ir 0.5000 0.5000 0.5000

No. 16
Compound: AcGa2CuIr
Source: the Alexandria database
Functional: PBE
Structure: relaxed

Properties
SG: Imm2
Uncorrected energy in Ha/atom: -0.1873
Magnetic moment in μB/f.u.: 0.00
Crystal system: orthorhombic
Formation enthalpy at 0 K in eV per atom: -0.4722

Cell: 6.2520 6.2520 6.2520 Å, 141.09 138.35 58.31°
Atoms (fractional coordinates):
1 Ac 0.0000 0.0000 0.0000
2 Ga 0.3723 0.3723 0.0000
3 Ga 0.7371 0.2371 0.5000
4 Cu 0.2415 0.7415 0.5000
5 Ir 0.6030 0.6030 0.0000

No. 17
Compound: Ac2Ga3CuIr4
Source: the Alexandria database
Functional: PBE
Structure: relaxed

Properties
SG: P-4m2
Uncorrected energy in Ha/atom: -0.2306
Magnetic moment in μB/f.u.: 0.00
Crystal system: tetragonal
Formation enthalpy at 0 K in eV per atom: -0.5915

Cell: 4.3308 4.3308 10.5173 Å, 90.00 90.00 90.00°
Atoms (fractional coordinates):
1 Ac 0.0000 0.5000 0.2498
2 Ac 0.5000 0.0000 0.7502
3 Ga 0.0000 0.0000 0.0000
4 Ga 0.0000 0.5000 0.6224
5 Ga 0.5000 0.0000 0.3776
6 Cu 0.5000 0.5000 0.0000
7 Ir 0.0000 0.0000 0.5000
8 Ir 0.0000 0.5000 0.8642
9 Ir 0.5000 0.0000 0.1358
10 Ir 0.5000 0.5000 0.5000

No. 18
Compound: AcGa4CuIr2
Source: the Alexandria database
Functional: PBE
Structure: relaxed

Properties
SG: R-3m
Uncorrected energy in Ha/atom: -0.1907
Magnetic moment in μB/f.u.: 0.00
Crystal system: trigonal
Formation enthalpy at 0 K in eV per atom: -0.4350

Cell: 9.4498 9.4498 9.4498 Å, 26.45 26.45 26.45°
Atoms (fractional coordinates):
1 Ac 0.0000 0.0000 0.0000
2 Ga 0.1306 0.1306 0.1306
3 Ga 0.4065 0.4065 0.4065
4 Ga 0.5935 0.5935 0.5935
5 Ga 0.8694 0.8694 0.8694
6 Cu 0.5000 0.5000 0.5000
7 Ir 0.2257 0.2257 0.2257
8 Ir 0.7743 0.7743 0.7743

No. 19
Compound: AcGa3CuIr
Source: the Alexandria database
Functional: PBE
Structure: relaxed

Properties
SG: Cmcm
Uncorrected energy in Ha/atom: -0.1732
Magnetic moment in μB/f.u.: 0.00
Crystal system: orthorhombic
Formation enthalpy at 0 K in eV per atom: -0.3555

Cell: 6.8404 6.8404 6.6154 Å, 90.00 90.00 124.62°
Atoms (fractional coordinates):
1 Ac 0.2492 0.7508 0.7500
2 Ac 0.7508 0.2492 0.2500
3 Ga 0.2158 0.2158 0.0000
4 Ga 0.2158 0.2158 0.5000
5 Ga 0.3034 0.6966 0.2500
6 Ga 0.6966 0.3034 0.7500
7 Ga 0.7842 0.7842 0.0000
8 Ga 0.7842 0.7842 0.5000
9 Cu 0.4930 0.5070 0.2500
10 Cu 0.5070 0.4930 0.7500
11 Ir 0.1093 0.8907 0.2500
12 Ir 0.8907 0.1093 0.7500

No. 20
Compound: AcGaCu2Ir
Source: the Alexandria database
Functional: PBE
Structure: relaxed

Properties
SG: Imm2
Uncorrected energy in Ha/atom: -0.1904
Magnetic moment in μB/f.u.: 0.00
Crystal system: orthorhombic
Formation enthalpy at 0 K in eV per atom: -0.3441

Cell: 6.2734 6.2734 6.2734 Å, 141.97 140.14 56.26°
Atoms (fractional coordinates):
1 Ac 0.0000 0.0000 0.0000
2 Ga 0.2554 0.7554 0.5000
3 Cu 0.6262 0.6262 0.0000
4 Cu 0.7574 0.2574 0.5000
5 Ir 0.3933 0.3933 0.0000

No. 21
Compound: AcLa2Ga2Cu2
Source: the Alexandria database
Functional: PBE
Structure: relaxed

Properties
SG: R-3m
Uncorrected energy in Ha/atom: -0.1619
Magnetic moment in μB/f.u.: 0.00
Crystal system: trigonal
Formation enthalpy at 0 K in eV per atom: -0.3763

Cell: 10.0460 10.0460 10.0460 Å, 26.15 26.15 26.15°
Atoms (fractional coordinates):
1 Ac 0.0000 0.0000 0.0000
2 La 0.1292 0.1292 0.1292
3 La 0.8708 0.8708 0.8708
4 Ga 0.2583 0.2583 0.2583
5 Ga 0.7417 0.7417 0.7417
6 Cu 0.4056 0.4056 0.4056
7 Cu 0.5944 0.5944 0.5944

No. 22
Compound: LiAc2Ga4Cu3
Source: the Alexandria database
Functional: PBE
Structure: relaxed

Properties
SG: P-4m2
Uncorrected energy in Ha/atom: -0.1407
Magnetic moment in μB/f.u.: 0.00
Crystal system: tetragonal
Formation enthalpy at 0 K in eV per atom: -0.3765

Cell: 4.4666 4.4666 10.1323 Å, 90.00 90.00 90.00°
Atoms (fractional coordinates):
1 Li 0.0000 0.0000 0.0000
2 Ac 0.0000 0.5000 0.7505
3 Ac 0.5000 0.0000 0.2495
4 Ga 0.0000 0.0000 0.5000
5 Ga 0.0000 0.5000 0.1267
6 Ga 0.5000 0.0000 0.8733
7 Ga 0.5000 0.5000 0.5000
8 Cu 0.0000 0.5000 0.3731
9 Cu 0.5000 0.0000 0.6269
10 Cu 0.5000 0.5000 0.0000

No. 23
Compound: LiAc2GaCu6
Source: the Alexandria database
Functional: PBE
Structure: relaxed

Properties
SG: P-1
Uncorrected energy in Ha/atom: -0.1418
Magnetic moment in μB/f.u.: 0.00
Crystal system: triclinic
Formation enthalpy at 0 K in eV per atom: -0.0864

Cell: 6.2890 6.3072 6.6416 Å, 62.15 61.80 60.15°
Atoms (fractional coordinates):
1 Li 0.0000 0.0000 0.0000
2 Ac 0.2157 0.2135 0.3553
3 Ac 0.7843 0.7865 0.6447
4 Ga 0.5000 0.5000 0.5000
5 Cu 0.2449 0.6469 0.8632
6 Cu 0.2456 0.2455 0.8581
7 Cu 0.3493 0.7544 0.1416
8 Cu 0.6507 0.2456 0.8584
9 Cu 0.7544 0.7545 0.1419
10 Cu 0.7551 0.3531 0.1368